This record from Alexandria via LeMat-Bulk describes a relaxed structure of Na2In2Ag5. The functional is PBE-GGA.

SG: Ima2
Total moment in μB per formula unit: 0.0
DFT total energy in eV/atom: -2.4928
Volume in Å³/atom: 22.05
Formation energy in eV/atom: -0.007

Cell and atoms, written as POSCAR:
```
Na2In2Ag5
1.0
-6.6643 3.1371 4.7456
6.6643 -3.1371 4.7456
6.6643 3.1371 -4.7456
Na In Ag
4 4 10
Cartesian
1.6835 0.0894 0.0000
4.9807 0.0894 0.0000
1.6835 3.0477 4.7456
4.9807 3.0477 4.7456
0.0000 0.0000 4.1108
6.6643 0.0000 4.1108
3.3321 3.1271 0.6458
3.3321 0.0099 5.3914
8.5915 1.7190 -2.2403
4.7370 -1.4180 2.5052
3.3321 2.0916 -2.0320
3.3321 1.0455 2.7136
-1.9272 1.4180 2.5052
8.5915 1.4180 2.5052
0.7983 2.0155 2.0451
5.8660 2.0155 2.0451
-0.7983 4.2586 2.0451
0.7983 1.1216 6.7907
```

This record from Alexandria via LeMat-Bulk describes a relaxed structure of Na3In3Ag2. The functional is PBE-GGA.

SG: P-62m
Total moment in μB per formula unit: 0.0
Relative energy among the computed polymorphs in eV per formula unit: 0.098
DFT total energy in eV/atom: -2.3021
Volume in Å³/atom: 24.40
Formation energy in eV/atom: -0.068

Cell and atoms, written as POSCAR:
```
Na3In3Ag2
1.0
8.5358 0.0000 0.0000
-4.2679 7.3922 0.0000
0.0000 0.0000 3.0937
Na In Ag
3 3 2
Cartesian
-1.0443 1.8088 0.0000
2.0887 0.0000 0.0000
3.2236 5.5834 0.0000
-2.5777 4.4647 1.5469
1.6902 2.9275 1.5469
5.1554 0.0000 1.5469
0.0000 4.9282 0.0000
4.2679 2.4641 0.0000
```

This record from Alexandria via LeMat-Bulk describes a relaxed structure of Na2In6Ag. The functional is PBE-GGA.

SG: C2/m
Total moment in μB per formula unit: 0.0
Relative energy among the computed polymorphs in eV per formula unit: 0.000
DFT total energy in eV/atom: -2.4932
Volume in Å³/atom: 26.99
Formation energy in eV/atom: -0.058

Cell and atoms, written as POSCAR:
```
Na2In6Ag
1.0
5.8348 -3.3815 0.0000
5.8348 3.3815 0.0000
-0.0687 0.0000 6.1566
Na In Ag
2 6 1
Cartesian
1.9318 0.0000 2.0598
9.6692 0.0000 4.0968
4.7827 1.8098 1.1209
6.8183 1.8098 5.0356
3.7085 0.0000 5.0179
7.8925 0.0000 1.1387
4.7827 -1.8098 1.1209
6.8183 -1.8098 5.0356
5.8005 0.0000 3.0783
```

This record from Alexandria via LeMat-Bulk describes a relaxed structure of Na3In2Ag4. The functional is PBE-GGA.

SG: C2/m
Total moment in μB per formula unit: 0.0
DFT total energy in eV/atom: -2.3806
Volume in Å³/atom: 23.71
Formation energy in eV/atom: -0.065

Cell and atoms, written as POSCAR:
```
Na3In2Ag4
1.0
5.5627 -2.4087 0.0000
5.5627 2.4087 0.0000
-1.2412 0.0000 7.9627
Na In Ag
3 2 4
Cartesian
0.0000 0.0000 0.0000
4.1529 0.0000 5.3775
5.7312 0.0000 2.5852
2.4512 0.0000 2.2745
7.4329 0.0000 5.6882
0.6532 0.0000 4.5998
1.7820 0.0000 7.3020
8.1021 0.0000 0.6608
9.2309 0.0000 3.3629
```

This record from Alexandria via LeMat-Bulk describes a relaxed structure of Na2InAg2. The functional is PBE-GGA.

SG: I4/mmm
Total moment in μB per formula unit: 0.0
Relative energy among the computed polymorphs in eV per formula unit: 1.053
DFT total energy in eV/atom: -2.0618
Volume in Å³/atom: 24.94
Formation energy in eV/atom: 0.154

Cell and atoms, written as POSCAR:
```
Na2InAg2
1.0
-2.0921 2.0921 7.1235
2.0921 -2.0921 7.1235
2.0921 2.0921 -7.1235
Na In Ag
2 1 2
Cartesian
2.0921 0.0000 3.5618
0.0000 2.0921 3.5618
0.0000 0.0000 0.0000
0.0000 0.0000 5.7649
0.0000 0.0000 8.4821
```

This record from Alexandria via LeMat-Bulk describes a relaxed structure of NaIn2Ag. The functional is PBE-GGA.

SG: Immm
Total moment in μB per formula unit: 0.0
DFT total energy in eV/atom: -2.3734
Volume in Å³/atom: 27.28
Formation energy in eV/atom: 0.038

Cell and atoms, written as POSCAR:
```
NaIn2Ag
1.0
-1.6821 2.4656 6.5769
1.6821 -2.4656 6.5769
1.6821 2.4656 -6.5769
Na In Ag
1 2 1
Cartesian
0.0000 0.0000 0.0000
0.0000 0.0000 3.8299
0.0000 0.0000 9.3239
0.0000 0.0000 6.5769
```

This record from Alexandria via LeMat-Bulk describes a relaxed structure of Na2In8Ag. The functional is PBE-GGA.

SG: P4/mmm
Total moment in μB per formula unit: 0.0
DFT total energy in eV/atom: -2.5575
Volume in Å³/atom: 25.93
Formation energy in eV/atom: -0.067

Cell and atoms, written as POSCAR:
```
Na2In8Ag
1.0
4.8055 0.0000 0.0000
0.0000 4.8055 0.0000
0.0000 0.0000 12.3524
Na In Ag
2 8 1
Cartesian
0.0000 0.0000 2.2663
0.0000 0.0000 10.0861
0.0000 2.4028 0.0000
0.0000 2.4028 4.5344
0.0000 2.4028 7.8179
2.4028 0.0000 0.0000
2.4028 0.0000 4.5344
2.4028 0.0000 7.8179
2.4028 2.4028 2.3190
2.4028 2.4028 10.0334
0.0000 0.0000 6.1762
```

This record from Alexandria via LeMat-Bulk describes a relaxed structure of NaIn2Ag6. The functional is PBE-GGA.

SG: P6/mmm
Total moment in μB per formula unit: 0.0
Relative energy among the computed polymorphs in eV per formula unit: 0.885
DFT total energy in eV/atom: -2.5885
Volume in Å³/atom: 23.63
Formation energy in eV/atom: 0.067

Cell and atoms, written as POSCAR:
```
NaIn2Ag6
1.0
5.7110 0.0000 0.0000
-2.8555 4.9459 0.0000
0.0000 0.0000 7.5279
Na In Ag
1 2 6
Cartesian
0.0000 0.0000 0.0000
0.0000 3.2973 3.7639
2.8555 1.6486 3.7639
-1.4278 2.4729 1.3924
-1.4278 2.4729 6.1355
2.8555 0.0000 1.3924
2.8555 0.0000 6.1355
1.4278 2.4729 1.3924
1.4278 2.4729 6.1355
```

This record from Alexandria via LeMat-Bulk describes a relaxed structure of Na12In7Ag. The functional is PBE-GGA.

SG: R-3m
Total moment in μB per formula unit: 0.0
DFT total energy in eV/atom: -1.9647
Volume in Å³/atom: 28.19
Formation energy in eV/atom: -0.072

Cell and atoms, written as POSCAR:
```
Na12In7Ag
1.0
6.6112 3.8170 3.7242
-6.6112 3.8170 3.7242
0.0000 -7.6340 3.7242
Na In Ag
12 7 1
Cartesian
-1.7336 -4.6314 3.7242
-4.8777 0.8144 3.7242
0.0000 -1.8679 2.8473
-1.6177 0.9340 2.8473
1.7336 -4.6314 3.7242
-3.1441 3.8170 3.7242
1.6177 0.9340 2.8473
-1.6177 -0.9340 8.3252
4.8777 0.8144 3.7242
3.1441 3.8170 3.7242
1.6177 -0.9340 8.3252
0.0000 1.8679 8.3252
0.0000 0.0000 0.0000
-2.6284 -1.5175 5.0820
0.0000 -3.0350 6.0906
-2.6284 1.5175 6.0906
2.6283 -1.5175 5.0820
0.0000 3.0350 5.0820
2.6283 1.5175 6.0906
0.0000 0.0000 5.5863
```

This record from Alexandria via LeMat-Bulk describes a relaxed structure of Na2In2Ag. The functional is PBE-GGA.

SG: P4/mbm
Total moment in μB per formula unit: 0.0
Relative energy among the computed polymorphs in eV per formula unit: 0.182
DFT total energy in eV/atom: -2.2381
Volume in Å³/atom: 27.65
Formation energy in eV/atom: -0.045

Cell and atoms, written as POSCAR:
```
Na2In2Ag
1.0
7.2622 0.0000 0.0000
0.0000 7.2622 0.0000
0.0000 0.0000 5.2431
Na In Ag
4 4 2
Cartesian
1.2403 2.3908 0.0000
2.3908 6.0219 0.0000
4.8714 1.2403 0.0000
6.0219 4.8714 0.0000
1.0262 4.6572 2.6215
2.6049 1.0262 2.6215
4.6572 6.2360 2.6215
6.2360 2.6049 2.6215
0.0000 0.0000 2.6215
3.6311 3.6311 2.6215
```

This record from Alexandria via LeMat-Bulk describes a relaxed structure of Na3InAg4. The functional is PBE-GGA.

SG: Imm2
Total moment in μB per formula unit: 0.0
DFT total energy in eV/atom: -2.2478
Volume in Å³/atom: 24.74
Formation energy in eV/atom: 0.015

Cell and atoms, written as POSCAR:
```
Na3InAg4
1.0
-2.9692 4.1658 4.0003
2.9692 -4.1658 4.0003
2.9692 4.1658 -4.0003
Na In Ag
3 1 4
Cartesian
0.0000 0.0000 0.0000
0.0000 2.4860 2.1951
0.0000 5.8456 2.1951
2.9692 0.0000 1.0907
1.4426 4.1658 -0.5347
1.5266 0.0000 3.4656
2.9692 2.7277 1.3351
0.0000 1.4381 5.3354
```

This record from Alexandria via LeMat-Bulk describes a relaxed structure of Na12In6Ag. The functional is PBE-GGA.

SG: R-3
Total moment in μB per formula unit: 0.0
DFT total energy in eV/atom: -1.9008
Volume in Å³/atom: 29.70
Formation energy in eV/atom: -0.053

Cell and atoms, written as POSCAR:
```
Na12In6Ag
1.0
7.0232 4.0548 3.3029
-7.0232 4.0548 3.3029
0.0000 -8.1097 3.3029
Na In Ag
12 6 1
Cartesian
-2.0753 -5.6999 3.8721
-5.9740 -1.0527 6.0365
-2.1239 -2.4767 4.3518
-3.8986 4.6473 3.8721
-3.2068 0.6010 5.5569
-1.0830 3.0777 4.3517
1.0830 -3.0777 5.5569
3.2068 -0.6010 4.3517
3.8986 -4.6473 6.0365
2.1239 2.4767 5.5569
5.9740 1.0527 3.8721
2.0753 5.6999 6.0365
-1.8147 0.0210 2.5238
0.8892 -1.5821 2.5238
0.9256 1.5611 2.5238
-0.9256 -1.5611 7.3848
-0.8891 1.5821 7.3848
1.8147 -0.0210 7.3848
0.0000 0.0000 4.9543
```